Entry 1:
# TcIrN2

A geometry-optimized TcIrN2 structure (PBE, the Alexandria database).

a b c (Å): 4.5924 4.5924 9.3319
angles (deg): 90.00 90.00 90.00
Space group I-42d (No. 122)
Symmetry-distinct sites (fractional):
Tc: 0.0000 0.0000 0.0000 x4
Ir: 0.0000 0.0000 0.5000 x4
N: 0.2366 0.2500 0.1250 x8

Summary:
**Magnetic moment**: 0.000 μB per formula unit
**Excess energy over the best structure of this formula in the dataset**: 187 meV per atom
**Density of states at the Fermi level**: 3.108 states/eV/f.u.
**Total energy**: -0.6323 Ry per atom
**Crystal system**: tetragonal
**Raw formation energy**: 366 meV per atom



Entry 2:
# Y5Ge2Bi

A geometry-optimized Y5Ge2Bi structure (PBE, the Alexandria database).

a b c (Å): 7.9486 7.9486 13.6092
angles (deg): 90.00 90.00 90.00
Space group I4/mcm (No. 140)
Symmetry-distinct sites (fractional):
Y: 0.0000 0.0000 0.0000 x4
Y: 0.1537 0.3463 0.1399 x16
Ge: 0.1503 0.3497 0.5000 x8
Bi: 0.0000 0.0000 0.2500 x4

Summary:
**Magnetic moment**: 1.214 μB per formula unit
**Density of states at the Fermi level**: 8.875 states/eV/f.u.
**Total energy**: -0.4740 Ry per atom
**Crystal system**: tetragonal